<A>
## Ti2HIr (PBE)

Data for a relaxed structure of Ti2HIr.

Summary:
crystal system	cubic

a b c (Å): 4.2592 4.2592 4.2592
angles (deg): 60.00 60.00 60.00
Last column: nearest neighbours and their distance in Å.
Atoms (fractional coordinates):
Ti 0.7500 0.7500 0.7500  4 H 2.61, 4 Ir 2.61
Ti 0.2500 0.2500 0.2500  4 Ir 2.61, 4 H 2.61
H 0.0000 0.0000 0.0000  8 Ti 2.61
Ir 0.5000 0.5000 0.5000  8 Ti 2.61



<B>
## Ti2HIr (PBE)

Data for a relaxed structure of Ti2HIr.

Summary:
crystal system	trigonal

a b c (Å): 2.8744 2.8744 6.9723
angles (deg): 78.10 78.10 60.00
Last column: nearest neighbours and their distance in Å.
Atoms (fractional coordinates):
H 0.0000 0.0000 0.0000  6 Ti 2.07
Ti 0.2727 0.2727 0.1820  3 H 2.07
Ti 0.7273 0.7273 0.8180  3 H 2.07
Ir 0.5000 0.5000 0.5000  6 Ti 2.72, 6 Ir 2.87



Of them, <A> has the lowest stability.



<A>
## TiH2Ir (PBE)

Data for a relaxed structure of TiH2Ir.

Summary:
crystal system	tetragonal

a b c (Å): 4.1400 4.1400 5.2214
angles (deg): 66.64 66.64 90.00
Last column: nearest neighbours and their distance in Å.
Atoms (fractional coordinates):
Ti 0.5000 0.5000 0.0000  4 H 1.86
Ir 0.7500 0.2500 0.5000  4 H 1.78
H 0.8750 0.8938 0.7500  2 Ir 1.78, 2 Ti 1.86
H 0.6438 0.1250 0.2500  2 Ir 1.78, 2 Ti 1.86
Ir 0.0000 0.0000 0.0000  4 H 1.78
H 0.3750 0.3562 0.7500  2 Ir 1.78, 2 Ti 1.86
H 0.1062 0.6250 0.2500  2 Ir 1.78, 2 Ti 1.86
Ti 0.2500 0.7500 0.5000  4 H 1.86



<B>
## TiH2Ir (PBE)

Data for a relaxed structure of TiH2Ir.

Summary:
crystal system	trigonal

a b c (Å): 2.9379 2.9379 5.1216
angles (deg): 73.33 73.33 60.00
Last column: nearest neighbours and their distance in Å.
Atoms (fractional coordinates):
Ti 0.5000 0.5000 0.5000  6 H 1.83
Ir 0.0000 0.0000 0.0000  2 H 1.72
H 0.8811 0.8811 0.3567  1 Ir 1.72, 3 Ti 1.83
H 0.1189 0.1189 0.6433  1 Ir 1.72, 3 Ti 1.83



<C>
## TiH2Ir (PBE)

Data for a relaxed structure of TiH2Ir.

Summary:
crystal system	cubic

a b c (Å): 3.7444 3.7444 3.7444
angles (deg): 60.00 60.00 60.00
Last column: nearest neighbours and their distance in Å.
Atoms (fractional coordinates):
H 0.2500 0.2500 0.2500  4 Ir 2.29, 4 Ti 2.29
H 0.7500 0.7500 0.7500  4 Ir 2.29, 4 Ti 2.29
Ir 0.5000 0.5000 0.5000  8 H 2.29
Ti 0.0000 0.0000 0.0000  8 H 2.29



Of them, <C> has the lowest stability.



<A>
## Ti2H2Ir (PBE)

Data for a relaxed structure of Ti2H2Ir.

Summary:
crystal system	tetragonal

a b c (Å): 6.0867 6.0867 2.8194
angles (deg): 90.00 90.00 90.00
Last column: nearest neighbours and their distance in Å.
Atoms (fractional coordinates):
H 0.3871 0.8871 0.0000  1 H 1.94
H 0.1129 0.3871 0.0000  1 H 1.94
H 0.8871 0.6129 0.0000  1 H 1.94
Ti 0.3401 0.1599 0.5000  6 H 2.20-2.41
H 0.6129 0.1129 0.0000  1 H 1.94
Ti 0.8401 0.3401 0.5000  6 H 2.20-2.41
Ir 0.5000 0.5000 0.0000  4 H 2.45, 8 Ti 2.69
Ti 0.6599 0.8401 0.5000  6 H 2.20-2.41
Ir 0.0000 0.0000 0.0000  4 H 2.45, 8 Ti 2.69
Ti 0.1599 0.6599 0.5000  6 H 2.20-2.41



<B>
## Ti2H2Ir (PBE)

Data for a relaxed structure of Ti2H2Ir.

Summary:
crystal system	tetragonal

a b c (Å): 2.9207 2.9207 6.2208
angles (deg): 90.00 90.00 90.00
Last column: nearest neighbours and their distance in Å.
Atoms (fractional coordinates):
Ir 0.0000 0.0000 0.0000  8 Ti 2.69, 4 Ir 2.92
H 0.0000 0.5000 0.5000  4 Ti 2.02, 4 H 2.07
Ti 0.5000 0.5000 0.2760  4 H 2.02
Ti 0.5000 0.5000 0.7240  4 H 2.02
H 0.5000 0.0000 0.5000  4 Ti 2.02, 4 H 2.07



Of them, <A> has the lowest stability.



<A>
## Ti2H2Ir (PBE)

Data for a relaxed structure of Ti2H2Ir.

Summary:
crystal system	tetragonal

a b c (Å): 2.9409 2.9409 6.2904
angles (deg): 76.48 76.48 90.00
Last column: nearest neighbours and their distance in Å.
Atoms (fractional coordinates):
H 0.2500 0.7500 0.5000  4 Ti 1.93, 4 H 2.08
Ir 0.0000 0.0000 0.0000  8 Ti 2.69, 4 Ir 2.94
Ti 0.3557 0.3557 0.2886  4 H 1.93
H 0.7500 0.2500 0.5000  4 Ti 1.93, 4 H 2.08
Ti 0.6443 0.6443 0.7114  4 H 1.93



<B>
## Ti2H2Ir (PBE)

Data for a relaxed structure of Ti2H2Ir.

Summary:
crystal system	orthorhombic

a b c (Å): 5.4829 4.9786 5.3035
angles (deg): 73.41 58.79 56.59
Last column: nearest neighbours and their distance in Å.
Atoms (fractional coordinates):
Ti 0.8084 0.8832 0.7500  4 H 1.87-1.89
H 0.4942 0.7505 0.0101  4 Ti 1.87-1.89
Ti 0.5578 0.3844 0.2500  4 H 1.87-1.89
Ir 0.1248 0.2502 0.7500  6 Ti 2.63-2.71, 6 H 2.75-2.95
Ti 0.1916 0.1168 0.2500  4 H 1.87-1.89
H 0.2553 0.7505 0.4899  4 Ti 1.87-1.89
H 0.5058 0.2495 0.9899  4 Ti 1.87-1.89
H 0.7447 0.2495 0.5101  4 Ti 1.87-1.89
Ti 0.4422 0.6156 0.7500  4 H 1.87-1.89
Ir 0.8752 0.7498 0.2500  6 Ti 2.63-2.71, 6 H 2.75-2.95



Of them, <B> has the lowest stability.



<A>
## TiHIr (PBE)

Data for a relaxed structure of TiHIr.

Summary:
crystal system	tetragonal

a b c (Å): 2.9659 2.9659 7.6031
angles (deg): 90.00 90.00 90.00
Last column: nearest neighbours and their distance in Å.
Atoms (fractional coordinates):
H 0.0000 0.0000 0.0000  4 Ti 1.95, 4 H 2.10
Ti 0.5000 0.0000 0.1662  4 H 1.95
Ti 0.0000 0.5000 0.8338  4 H 1.95
Ir 0.5000 0.0000 0.6360  4 Ti 2.58
H 0.5000 0.5000 0.0000  4 Ti 1.95, 4 H 2.10
Ir 0.0000 0.5000 0.3640  4 Ti 2.58



<B>
## TiHIr (PBE)

Data for a relaxed structure of TiHIr.

Summary:
crystal system	orthorhombic

a b c (Å): 5.0755 10.4829 10.2318
angles (deg): 90.00 90.00 90.00
Last column: nearest neighbours and their distance in Å.
Atoms (fractional coordinates):
Ir 0.1797 0.1972 0.2195  1 H 1.80
H 0.3754 0.5690 0.3466  1 Ir 1.80, 3 Ti 1.92-2.00
H 0.7476 0.1946 0.4121  1 Ir 1.79, 2 Ti 1.93-2.00
Ti 0.6274 0.8677 0.0315  3 H 2.00-2.12
Ti 0.1274 0.6323 0.0315  3 H 2.00-2.12
Ti 0.8617 0.0665 0.7880  3 H 1.92-1.96
H 0.3754 0.0690 0.1534  1 Ir 1.80, 3 Ti 1.92-2.00
Ti 0.8617 0.5665 0.7120  3 H 1.92-1.96
H 0.1246 0.5690 0.8466  1 Ir 1.80, 3 Ti 1.92-2.00
Ti 0.1383 0.4335 0.2880  3 H 1.92-1.96
H 0.2476 0.8054 0.0879  1 Ir 1.79, 2 Ti 1.93-2.00
Ir 0.6797 0.8028 0.2805  1 H 1.80
Ti 0.8726 0.3677 0.9685  3 H 2.00-2.12
Ir 0.6501 0.0983 0.5484  1 H 1.79
Ir 0.6797 0.3028 0.2195  1 H 1.80
H 0.8754 0.4310 0.1534  1 Ir 1.80, 3 Ti 1.92-2.00
Ti 0.3617 0.9335 0.7120  3 H 1.92-1.96
Ir 0.6501 0.5983 0.9516  1 H 1.79
Ir 0.3499 0.9017 0.4516  1 H 1.79
H 0.8754 0.9310 0.3466  1 Ir 1.80, 3 Ti 1.92-2.00
Ir 0.1501 0.9017 0.9516  1 H 1.79
Ir 0.8203 0.3028 0.7195  1 H 1.80
H 0.2524 0.8054 0.5879  1 Ir 1.79, 2 Ti 1.93-2.00
H 0.6246 0.4310 0.6534  1 Ir 1.80, 3 Ti 1.92-2.00
Ti 0.3726 0.1323 0.9685  3 H 2.00-2.12
Ti 0.1383 0.9335 0.2120  3 H 1.92-1.96
Ti 0.3617 0.4335 0.7880  3 H 1.92-1.96
Ir 0.3499 0.4017 0.0484  1 H 1.79
Ir 0.8499 0.0983 0.0484  1 H 1.79
H 0.7476 0.6946 0.0879  1 Ir 1.79, 2 Ti 1.93-2.00
Ti 0.1274 0.1323 0.4685  3 H 2.00-2.12
H 0.1246 0.0690 0.6534  1 Ir 1.80, 3 Ti 1.92-2.00
Ir 0.1797 0.6972 0.2805  1 H 1.80
Ti 0.6383 0.5665 0.2120  3 H 1.92-1.96
Ir 0.8203 0.8028 0.7805  1 H 1.80
Ir 0.3203 0.6972 0.7805  1 H 1.80
H 0.7524 0.6946 0.5879  1 Ir 1.79, 2 Ti 1.93-2.00
Ti 0.6274 0.3677 0.4685  3 H 2.00-2.12
Ir 0.1501 0.4017 0.5484  1 H 1.79
Ti 0.8726 0.8677 0.5315  3 H 2.00-2.12
Ti 0.6383 0.0665 0.2880  3 H 1.92-1.96
H 0.6246 0.9310 0.8466  1 Ir 1.80, 3 Ti 1.92-2.00
H 0.2524 0.3054 0.9121  1 Ir 1.79, 2 Ti 1.93-2.00
Ir 0.8499 0.5983 0.4516  1 H 1.79
Ir 0.3203 0.1972 0.7195  1 H 1.80
H 0.7524 0.1946 0.9121  1 Ir 1.79, 2 Ti 1.93-2.00
Ti 0.3726 0.6323 0.5315  3 H 2.00-2.12
H 0.2476 0.3054 0.4121  1 Ir 1.79, 2 Ti 1.93-2.00



Of them, <B> has the lowest stability.



<A>
## Tl3HIr (PBE)

Data for a relaxed structure of Tl3HIr.

Summary:
crystal system	cubic

a b c (Å): 5.2840 5.2840 5.2840
angles (deg): 90.00 90.00 90.00
Last column: nearest neighbours and their distance in Å.
Atoms (fractional coordinates):
Ir 0.0000 0.0000 0.0000  6 Tl 2.64
Tl 0.5000 0.0000 0.0000  2 Ir 2.64
H 0.5000 0.5000 0.5000  12 Tl 3.74
Tl 0.0000 0.0000 0.5000  2 Ir 2.64
Tl 0.0000 0.5000 0.0000  2 Ir 2.64



<B>
## Tl3HIr (PBE)

Data for a relaxed structure of Tl3HIr.

Summary:
crystal system	cubic

a b c (Å): 4.6450 4.6450 4.6450
angles (deg): 90.00 90.00 90.00
Last column: nearest neighbours and their distance in Å.
Atoms (fractional coordinates):
Ir 0.5000 0.5000 0.5000  12 Tl 3.28
H 0.0000 0.0000 0.0000  6 Tl 2.32
Tl 0.0000 0.0000 0.5000  2 H 2.32
Tl 0.0000 0.5000 0.0000  2 H 2.32
Tl 0.5000 0.0000 0.0000  2 H 2.32



Of them, <B> has the lowest stability.



<A>
## TlHIr2 (PBE)

Data for a relaxed structure of TlHIr2.

Summary:
crystal system	tetragonal

a b c (Å): 5.3303 5.3303 5.6899
angles (deg): 62.07 62.07 90.00
Last column: nearest neighbours and their distance in Å.
Atoms (fractional coordinates):
Ir 0.3750 0.5550 0.7500  2 H 1.75
Tl 0.7500 0.2500 0.5000  4 Ir 2.86
H 0.2500 0.7500 0.5000  4 Ir 1.75
Ir 0.4450 0.1250 0.2500  2 H 1.75
Tl 0.0000 0.0000 0.0000  4 Ir 2.86
Ir 0.3050 0.6250 0.2500  2 H 1.75
Ir 0.8750 0.6950 0.7500  2 H 1.75
H 0.5000 0.5000 0.0000  4 Ir 1.75



<B>
## TlHIr2 (PBE)

Data for a relaxed structure of TlHIr2.

Summary:
crystal system	cubic

a b c (Å): 4.3942 4.3942 4.3942
angles (deg): 60.00 60.00 60.00
Last column: nearest neighbours and their distance in Å.
Atoms (fractional coordinates):
Ir 0.2500 0.2500 0.2500  4 Tl 2.69, 4 H 2.69
H 0.0000 0.0000 0.0000  8 Ir 2.69
Ir 0.7500 0.7500 0.7500  4 Tl 2.69, 4 H 2.69
Tl 0.5000 0.5000 0.5000  8 Ir 2.69



Of them, <B> has the lowest stability.



<A>
## TlH3Ir (PBE)

Data for a relaxed structure of TlH3Ir.

Summary:
crystal system	cubic

a b c (Å): 3.7399 3.7399 3.7399
angles (deg): 90.00 90.00 90.00
Last column: nearest neighbours and their distance in Å.
Atoms (fractional coordinates):
H 0.0000 0.5000 0.0000  2 Ir 1.87
H 0.0000 0.0000 0.5000  2 Ir 1.87
Tl 0.5000 0.5000 0.5000  12 H 2.64
Ir 0.0000 0.0000 0.0000  6 H 1.87
H 0.5000 0.0000 0.0000  2 Ir 1.87



<B>
## TlH3Ir (PBE)

Data for a relaxed structure of TlH3Ir.

Summary:
crystal system	triclinic

a b c (Å): 7.1165 7.1760 4.9359
angles (deg): 89.43 106.05 143.95
Last column: nearest neighbours and their distance in Å.
Atoms (fractional coordinates):
Ir 0.9694 0.0662 0.1847  3 H 1.65-1.77
H 0.2172 0.9644 0.8255  1 Ir 1.60
H 0.7559 0.5147 0.8510  1 Ir 1.61
H 0.9185 0.8008 0.3125  2 Ir 1.76-1.77
Tl 0.3900 0.8138 0.3344  7 H 2.82-3.06
H 0.7856 0.1098 0.9838  1 Ir 1.65
H 0.8388 0.5117 0.5181  1 Ir 1.59
Tl 0.2873 0.3911 0.8106  5 H 2.61-2.76, 5 Ir 2.76-2.88
H 0.3795 0.2770 0.3243  2 Ir 1.75-1.80
Ir 0.8082 0.6942 0.6159  4 H 1.59-1.76



Of them, <A> has the lowest stability.



<A>
## TlH3Ir (PBE)

Data for a relaxed structure of TlH3Ir.

Summary:
crystal system	cubic

a b c (Å): 3.8809 3.8809 3.8809
angles (deg): 90.00 90.00 90.00
Last column: nearest neighbours and their distance in Å.
Atoms (fractional coordinates):
H 0.0000 0.5000 0.0000  2 Tl 1.94
H 0.5000 0.0000 0.0000  2 Tl 1.94
Tl 0.0000 0.0000 0.0000  6 H 1.94
Ir 0.5000 0.5000 0.5000  12 H 2.74
H 0.0000 0.0000 0.5000  2 Tl 1.94



<B>
## TlH3Ir (PBE)

Data for a relaxed structure of TlH3Ir.

Summary:
crystal system	triclinic

a b c (Å): 4.9142 4.9067 6.5367
angles (deg): 90.82 55.14 71.07
Last column: nearest neighbours and their distance in Å.
Atoms (fractional coordinates):
H 0.6823 0.9249 0.7058  2 Ir 1.78-1.79, 1 H 1.91
Ir 0.0435 0.9051 0.7177  6 H 1.76-1.83
H 0.2817 0.6849 0.8252  2 Ir 1.78-1.81, 1 H 1.91
Ir 0.3827 0.2914 0.7615  6 H 1.76-1.83
H 0.0318 0.1459 0.9282  2 Ir 1.76-1.83, 1 H 1.97
Tl 0.4932 0.7575 0.1335  6 H 2.64-2.91, 1 Ir 2.85
H 0.1448 0.5116 0.6537  2 Ir 1.78-1.81, 1 H 1.91
H 0.7440 0.2716 0.7734  2 Ir 1.78-1.79, 1 H 1.91
H 0.3946 0.0506 0.5509  2 Ir 1.76-1.83, 1 H 1.97
Tl 0.9334 0.4387 0.3456  6 H 2.64-2.91, 1 Ir 2.85



Of them, <A> has the lowest stability.



<A>
## Tl2HIr (PBE)

Data for a relaxed structure of Tl2HIr.

Summary:
crystal system	tetragonal

a b c (Å): 6.5286 6.5286 5.7234
angles (deg): 55.23 55.23 90.00
Last column: nearest neighbours and their distance in Å.
Atoms (fractional coordinates):
Ir 0.0000 0.0000 0.0000  4 Tl 2.74
H 0.5000 0.5000 0.0000  4 Tl 2.21
Tl 0.5639 0.1250 0.2500  2 H 2.21
Tl 0.8750 0.8139 0.7500  2 H 2.21
Tl 0.3750 0.4361 0.7500  2 H 2.21
Tl 0.1861 0.6250 0.2500  2 H 2.21
H 0.2500 0.7500 0.5000  4 Tl 2.21
Ir 0.7500 0.2500 0.5000  4 Tl 2.74



<B>
## Tl2HIr (PBE)

Data for a relaxed structure of Tl2HIr.

Summary:
crystal system	cubic

a b c (Å): 4.6943 4.6943 4.6943
angles (deg): 60.00 60.00 60.00
Last column: nearest neighbours and their distance in Å.
Atoms (fractional coordinates):
Ir 0.5000 0.5000 0.5000  8 Tl 2.87
Tl 0.7500 0.7500 0.7500  4 H 2.87, 4 Ir 2.87
Tl 0.2500 0.2500 0.2500  4 Ir 2.87, 4 H 2.87
H 0.0000 0.0000 0.0000  8 Tl 2.87



Of them, <B> has the lowest stability.



<A>
## Zr2TlHIr (PBE)

Data for a relaxed structure of Zr2TlHIr.

Summary:
crystal system	tetragonal

a b c (Å): 4.5165 4.5165 4.0262
angles (deg): 90.00 90.00 90.00
Last column: nearest neighbours and their distance in Å.
Atoms (fractional coordinates):
Zr 0.5000 0.0000 0.0000  2 H 2.26
H 0.0000 0.0000 0.0000  2 Ir 2.01
Zr 0.0000 0.5000 0.0000  2 H 2.26
Ir 0.0000 0.0000 0.5000  2 H 2.01
Tl 0.5000 0.5000 0.5000  8 Zr 3.03, 4 Ir 3.19



<B>
## Zr2TlHIr (PBE)

Data for a relaxed structure of Zr2TlHIr.

Summary:
crystal system	tetragonal

a b c (Å): 5.3720 4.9351 5.3720
angles (deg): 90.00 90.00 90.00
Last column: nearest neighbours and their distance in Å.
Atoms (fractional coordinates):
Zr 0.0000 0.0000 0.5000  2 Tl 2.69
Zr 0.5000 0.0000 0.0000  2 Tl 2.69
Ir 0.0000 0.5000 0.0000  2 Tl 2.47
H 0.5000 0.5000 0.5000  8 Zr 3.65, 4 Ir 3.80
Tl 0.0000 0.0000 0.0000  2 Ir 2.47, 4 Zr 2.69



Of them, <B> has the lowest stability.